Record 1
# PBE-GGA KRb2Mg2H7, relaxed
data_KRb2Mg2H7
_chemical_formula_sum 'K2 Rb4 Mg4 H14'
_symmetry_space_group_name_H-M 'I 4/m m m'
_symmetry_Int_Tables_number 139
_symmetry_space_group_name_Hall '-I 4 2'
_cell_length_a 4.084
_cell_length_b 4.084
_cell_length_c 22.130
_cell_angle_alpha 90.00
_cell_angle_beta 90.00
_cell_angle_gamma 90.00
loop_
_atom_site_label
_atom_site_fract_x
_atom_site_fract_y
_atom_site_fract_z
K1 0.000 0.000 0.000
Rb1 0.000 0.000 0.182
Mg1 0.000 0.000 0.410
H1 0.000 0.000 0.320
H2 0.000 0.000 0.500
H3 0.000 0.500 0.089
# - M_tot (μB per cell) = 0.00
# - electronic total energy (eV per atom) = -2.73

Record 2
# PBE-GGA Pr2DyY3Ho6, relaxed
data_Pr2DyY3Ho6
_chemical_formula_sum 'Pr4 Dy2 Y6 Ho12'
_symmetry_space_group_name_H-M 'C 1 2/m 1'
_symmetry_Int_Tables_number 12
_symmetry_space_group_name_Hall '-C 2y'
_cell_length_a 6.188
_cell_length_b 10.709
_cell_length_c 11.822
_cell_angle_alpha 90.00
_cell_angle_beta 100.01
_cell_angle_gamma 90.00
loop_
_atom_site_label
_atom_site_fract_x
_atom_site_fract_y
_atom_site_fract_z
Pr1 0.000 0.167 0.000
Dy1 0.000 0.500 0.000
Y1 0.000 0.000 0.500
Y2 0.000 0.334 0.500
Ho1 0.248 0.500 0.748
Ho2 0.249 0.166 0.748
# - M_tot (μB per cell) = 0.00
# - DFT formation energy (eV per atom) = 0.02

Record 3
# PBE-GGA PaAl2Sn, relaxed
data_PaAl2Sn
_chemical_formula_sum 'Pa1 Al2 Sn1'
_symmetry_space_group_name_H-M 'P 4/m m m'
_symmetry_Int_Tables_number 123
_symmetry_space_group_name_Hall '-P 4 2'
_cell_length_a 4.454
_cell_length_b 4.454
_cell_length_c 4.347
_cell_angle_alpha 90.00
_cell_angle_beta 90.00
_cell_angle_gamma 90.00
loop_
_atom_site_label
_atom_site_fract_x
_atom_site_fract_y
_atom_site_fract_z
Pa1 0.000 0.000 0.000
Al1 0.000 0.500 0.500
Sn1 0.500 0.500 0.000
# - excess energy over the best structure of this formula in the dataset (eV per atom) = 0.000
# - M_tot (μB per cell) = 0.00
# - DFT formation energy (eV per atom) = -0.27

Record 4
# PBE-GGA NbSnBi3, relaxed
data_NbSnBi3
_chemical_formula_sum 'Nb1 Sn1 Bi3'
_symmetry_space_group_name_H-M 'P m -3 m'
_symmetry_Int_Tables_number 221
_symmetry_space_group_name_Hall '-P 4 2 3'
_cell_length_a 5.528
_cell_length_b 5.528
_cell_length_c 5.528
_cell_angle_alpha 90.00
_cell_angle_beta 90.00
_cell_angle_gamma 90.00
loop_
_atom_site_label
_atom_site_fract_x
_atom_site_fract_y
_atom_site_fract_z
Nb1 0.000 0.000 0.000
Sn1 0.500 0.500 0.500
Bi1 0.000 0.000 0.500
# - excess energy over the best structure of this formula in the dataset (eV per atom) = 0.000
# - M_tot (μB per cell) = 0.00
# - DFT formation energy (eV per atom) = 0.50

Record 5
# PBE-GGA Li7Ag12Pd, relaxed
data_Li7Ag12Pd
_chemical_formula_sum 'Li21 Ag36 Pd3'
_symmetry_space_group_name_H-M 'R -3'
_symmetry_Int_Tables_number 148
_symmetry_space_group_name_Hall '-R 3'
_cell_length_a 10.1480
_cell_length_b 10.1480
_cell_length_c 12.1768
_cell_angle_alpha 90.00
_cell_angle_beta 90.00
_cell_angle_gamma 120.00
loop_
_atom_site_label
_atom_site_fract_x
_atom_site_fract_y
_atom_site_fract_z
Li1 0.0000 0.0000 0.0000
Li2 0.0260 0.1890 0.3136
Ag1 0.0260 0.4486 0.1986
Ag2 0.0741 0.8209 0.9196
Pd1 0.0000 0.0000 0.5000
# - M_tot (μB per cell) = 0.00
# - DFT formation energy (eV per atom) = -0.11

Record 6
# PBE-GGA NdTmAsS, relaxed
data_NdTmAsS
_chemical_formula_sum 'Nd3 Tm3 As3 S3'
_symmetry_space_group_name_H-M 'R 3 m'
_symmetry_Int_Tables_number 160
_symmetry_space_group_name_Hall 'R 3 -2"'
_cell_length_a 3.9901
_cell_length_b 3.9901
_cell_length_c 21.1446
_cell_angle_alpha 90.00
_cell_angle_beta 90.00
_cell_angle_gamma 120.00
loop_
_atom_site_label
_atom_site_fract_x
_atom_site_fract_y
_atom_site_fract_z
Nd1 0.0000 0.0000 0.0000
Tm1 0.0000 0.0000 0.1728
As1 0.0000 0.0000 0.5804
S1 0.0000 0.0000 0.7598
# - M_tot (μB per cell) = 1.32
# - electronic total energy (eV per atom) = -6.18

Record 7
# PBE-GGA LiFeAs2Pt, relaxed
data_LiFeAs2Pt
_chemical_formula_sum 'Li1 Fe1 As2 Pt1'
_symmetry_space_group_name_H-M 'P 4/m m m'
_symmetry_Int_Tables_number 123
_symmetry_space_group_name_Hall '-P 4 2'
_cell_length_a 4.878
_cell_length_b 4.878
_cell_length_c 4.435
_cell_angle_alpha 90.00
_cell_angle_beta 90.00
_cell_angle_gamma 90.00
loop_
_atom_site_label
_atom_site_fract_x
_atom_site_fract_y
_atom_site_fract_z
Li1 0.000 0.000 0.000
Fe1 0.500 0.500 0.000
As1 0.000 0.500 0.500
Pt1 0.000 0.000 0.500
# - M_tot (μB per cell) = 3.23
# - DFT formation energy (eV per atom) = 0.53

Record 8
# PBE-GGA MnMoCl3, relaxed
data_MnMoCl3
_chemical_formula_sum 'Mn1 Mo1 Cl3'
_symmetry_space_group_name_H-M 'P m -3 m'
_symmetry_Int_Tables_number 221
_symmetry_space_group_name_Hall '-P 4 2 3'
_cell_length_a 4.963
_cell_length_b 4.963
_cell_length_c 4.963
_cell_angle_alpha 90.00
_cell_angle_beta 90.00
_cell_angle_gamma 90.00
loop_
_atom_site_label
_atom_site_fract_x
_atom_site_fract_y
_atom_site_fract_z
Mn1 0.000 0.000 0.000
Mo1 0.500 0.500 0.500
Cl1 0.000 0.000 0.500
# - excess energy over the best structure of this formula in the dataset (eV per atom) = 0.000
# - M_tot (μB per cell) = 0.00